The following is a DFT calculation (PBE-GGA) of a relaxed structure of ZnReRh.

Computed properties:
E_form, eV/atom: -0.174
M_tot, μB/atom: 0.000
ΔE to the lowest computed polymorph, meV/atom: 0

```
ZnReRh
1.0
2.755 0.000 0.000
0.000 2.755 0.000
0.000 0.000 11.459
Zn Rh Re
2 2 2
Direct
0.000 0.500 0.589 Zn
0.500 0.000 0.411 Zn
0.000 0.500 0.250 Rh
0.500 0.000 0.750 Rh
0.500 0.000 0.092 Re
0.000 0.500 0.908 Re
```